Below is a relaxed SrDyReN4 crystal, with properties calculated at the PBE-GGA level.

The value obtained for the total magnetic moment is 0.00 μB/f.u. Its uncorrected energy is -8.317 eV per atom. The density of states at the Fermi level is 0.00 states/eV per cell. The formation energy from raw total energies is -884 meV per atom.

It has space group P2_1/m (No. 11), with a = 5.890 Å, b = 5.942 Å, c = 7.055 Å, α = 90.00°, β = 106.63° and γ = 90.00°. Symmetry generates all atoms from Sr at (0.223, 0.250, 0.431), Dy at (0.304, 0.250, 0.960), Re at (0.240, 0.750, 0.176), N at (0.041, 0.750, 0.333), N at (0.049, 0.750, 0.927) and N at (0.448, 0.509, 0.214).